(1)
A relaxed GePt2S crystal, computed with PBE-GGA.

Values from the calculation:
Crystal system: cubic
Energy relative to the lowest polymorph listed for this composition (meV per atom): 290
E_form (uncorrected) (meV/atom): 105

a b c (Å): 4.4678 4.4678 4.4678
angles (deg): 60.00 60.00 60.00
Last column: nearest neighbours and their distance in Å.
Positions (direct):
Ge 0.5000 0.5000 0.5000  8 Pt 2.74
Pt 0.2500 0.2500 0.2500  4 S 2.74, 4 Ge 2.74
Pt 0.7500 0.7500 0.7500  4 S 2.74, 4 Ge 2.74
S 0.0000 0.0000 0.0000  8 Pt 2.74

(2)
A relaxed TaAl2Tl crystal, computed with PBE-GGA.

Values from the calculation:
Energy of formation from the pure elements (eV per atom): 0.279
Crystal system: tetragonal
Energy relative to the lowest polymorph listed for this composition (meV per atom): 156

a b c (Å): 3.6615 3.6615 5.6437
angles (deg): 90.00 90.00 90.00
Last column: nearest neighbours and their distance in Å.
Positions (direct):
Tl 0.5000 0.5000 0.7558  6 Al 2.77-2.94, 4 Ta 3.03
Al 0.5000 0.5000 0.2642  2 Tl 2.77-2.87, 4 Ta 2.86, 4 Al 2.98
Al 0.0000 0.0000 0.0022  2 Ta 2.68-2.96, 4 Tl 2.94, 4 Al 2.98
Ta 0.0000 0.0000 0.4778  6 Al 2.68-2.96

(3)
A relaxed Pr2GeSe5 crystal, computed with PBE-GGA.

Values from the calculation:
Crystal system: monoclinic
E_form (uncorrected) (meV/atom): -1151

a b c (Å): 6.8585 7.3725 7.9932
angles (deg): 117.47 133.25 89.99
Last column: nearest neighbours and their distance in Å.
Positions (direct):
Pr 0.2131 0.7615 0.4633  7 Se 3.02-3.34
Pr 0.8561 0.2423 0.4251  7 Se 3.02-3.35
Ge 0.0345 0.9880 0.9442  4 Se 2.35-2.42
Se 0.8311 0.2349 0.0288  1 Ge 2.42
Se 0.5348 0.7137 0.9443  4 Pr 3.06-3.35
Se 0.6470 0.6109 0.4797  1 Ge 2.35
Se 0.4222 0.0755 0.4087  1 Ge 2.35
Se 0.2381 0.1502 0.8598  1 Ge 2.42

(4)
A relaxed Ba3InPt crystal, computed with PBE-GGA.

Values from the calculation:
Energy of formation from the pure elements (eV per atom): -0.410
Crystal system: cubic
Energy relative to the lowest polymorph listed for this composition (meV per atom): 77

a b c (Å): 6.1441 6.1441 6.1441
angles (deg): 90.00 90.00 90.00
Last column: nearest neighbours and their distance in Å.
Positions (direct):
Ba 0.5000 0.0000 0.0000  2 Pt 3.07
Ba 0.0000 0.0000 0.5000  2 Pt 3.07
Ba 0.0000 0.5000 0.0000  2 Pt 3.07
Pt 0.0000 0.0000 0.0000  6 Ba 3.07
In 0.5000 0.5000 0.5000  12 Ba 4.34

(5)
A relaxed TbDy2Y4Ho2 crystal, computed with PBE-GGA.

Values from the calculation:
Energy of formation from the pure elements (eV per atom): 0.001
Crystal system: monoclinic

a b c (Å): 3.5843 9.4839 9.5242
angles (deg): 115.27 90.00 100.89
Last column: nearest neighbours and their distance in Å.
Positions (direct):
Tb 0.0000 0.0000 0.0000  6 Y 3.53-3.54, 2 Tb 3.58, 4 Ho 3.59
Y 0.1856 0.3711 0.3331  6 Y 3.53-3.59, 1 Tb 3.53, 2 Ho 3.53, 3 Dy 3.54-3.57
Y 0.4813 0.9626 0.6656  5 Y 3.51-3.59, 4 Dy 3.53-3.59, 1 Ho 3.54, 2 Tb 3.54
Y 0.5187 0.0374 0.3344  5 Y 3.51-3.59, 4 Dy 3.53-3.59, 1 Ho 3.54, 2 Tb 3.54
Y 0.8144 0.6289 0.6669  6 Y 3.53-3.59, 1 Tb 3.53, 2 Ho 3.53, 3 Dy 3.54-3.57
Ho 0.3330 0.6660 0.0008  3 Dy 3.52, 3 Y 3.53-3.54, 4 Ho 3.57-3.58, 2 Tb 3.59
Ho 0.6670 0.3340 0.9992  3 Dy 3.52, 3 Y 3.53-3.54, 4 Ho 3.57-3.58, 2 Tb 3.59
Dy 0.8515 0.7030 0.3327  3 Ho 3.52, 7 Y 3.53-3.59, 2 Dy 3.58
Dy 0.1485 0.2970 0.6673  3 Ho 3.52, 7 Y 3.53-3.59, 2 Dy 3.58

(6)
A relaxed Hf6In3Si crystal, computed with PBE-GGA.

Values from the calculation:
Crystal system: monoclinic
E_form (uncorrected) (meV/atom): -52

a b c (Å): 5.4681 8.5210 9.5623
angles (deg): 90.00 90.25 90.00
Last column: nearest neighbours and their distance in Å.
Positions (direct):
Hf 0.4190 0.7974 0.4402  1 Si 2.63, 1 In 2.93
Hf 0.9190 0.7026 0.9402  1 Si 2.63, 1 In 2.93
Hf 0.5987 0.1645 0.9563  1 Si 2.64, 1 In 2.94
Hf 0.0810 0.2974 0.0598  1 Si 2.63, 1 In 2.93
Hf 0.0987 0.3355 0.4563  1 Si 2.64, 1 In 2.94
Hf 0.1590 0.1048 0.7664  1 Si 2.56, 1 In 2.83
Hf 0.8410 0.8952 0.2336  1 Si 2.56, 1 In 2.83
Hf 0.5810 0.2026 0.5598  1 Si 2.63, 1 In 2.93
Hf 0.4013 0.8355 0.0437  1 Si 2.64, 1 In 2.94
Hf 0.3410 0.6048 0.7336  1 Si 2.56, 1 In 2.83
Hf 0.9013 0.6645 0.5437  1 Si 2.64, 1 In 2.94
Hf 0.6590 0.3952 0.2664  1 Si 2.56, 1 In 2.83
Si 0.0000 0.0000 0.0000  6 Hf 2.56-2.64
Si 0.5000 0.5000 0.5000  6 Hf 2.56-2.64
In 0.6301 0.9074 0.7373  9 Hf 3.02-3.36, 1 In 3.15, 1 Si 3.31
In 0.8699 0.4074 0.7627  9 Hf 3.02-3.36, 1 In 3.15, 1 Si 3.31
In 0.0000 0.0000 0.5000  6 Hf 2.83-2.94, 2 In 3.15
In 0.1301 0.5926 0.2373  9 Hf 3.02-3.36, 1 In 3.15, 1 Si 3.31
In 0.5000 0.5000 0.0000  6 Hf 2.83-2.94, 2 In 3.15
In 0.3699 0.0926 0.2627  9 Hf 3.02-3.36, 1 In 3.15, 1 Si 3.31

(7)
A relaxed Sc2SbS crystal, computed with PBE-GGA.

Values from the calculation:
Crystal system: cubic
Energy relative to the lowest polymorph listed for this composition (meV per atom): 510
E_form (uncorrected) (meV/atom): -915

a b c (Å): 4.9122 4.9122 4.9122
angles (deg): 60.00 60.00 60.00
Last column: nearest neighbours and their distance in Å.
Positions (direct):
Sc 0.2500 0.2500 0.2500  4 S 3.01, 4 Sb 3.01
Sc 0.7500 0.7500 0.7500  4 S 3.01, 4 Sb 3.01
Sb 0.5000 0.5000 0.5000  8 Sc 3.01
S 0.0000 0.0000 0.0000  8 Sc 3.01

(8)
A relaxed La2AlCuNi6 crystal, computed with PBE-GGA.

Values from the calculation:
Energy of formation from the pure elements (eV per atom): -0.267
Crystal system: triclinic

a b c (Å): 6.2910 6.0525 6.0215
angles (deg): 62.75 58.99 90.32
Last column: nearest neighbours and their distance in Å.
Positions (direct):
Ni 0.8887 0.8191 0.7750  1 Cu 2.38, 1 Al 2.42, 5 Ni 2.48-2.52
Ni 0.1113 0.1808 0.2250  1 Cu 2.38, 1 Al 2.42, 5 Ni 2.48-2.52
Ni 0.1798 0.6642 0.9337  1 Cu 2.39, 1 Al 2.42, 5 Ni 2.48-2.52
Ni 0.3365 0.1119 0.4842  1 Cu 2.38, 1 Al 2.42, 5 Ni 2.48-2.52
Ni 0.6635 0.8881 0.5158  1 Cu 2.38, 1 Al 2.42, 5 Ni 2.48-2.52
Ni 0.8202 0.3358 0.0663  1 Cu 2.39, 1 Al 2.42, 5 Ni 2.48-2.52
La 0.3024 0.6978 0.3952  6 Ni 2.82-3.10, 1 Cu 2.87
La 0.6976 0.3022 0.6048  6 Ni 2.82-3.10, 1 Cu 2.87
Cu 0.5000 0.5000 0.0000  6 Ni 2.38-2.39
Al 0.0000 0.0000 0.0000  6 Ni 2.42

Which formula does entry 3 have?
Pr2GeSe5